[1]
DFT (GGA-PBE) results for a relaxed structure of CaSc2Tl3.

Lattice parameters (Å, degrees): 3.6706 3.6706 11.2420 90.00 90.00 90.00
With the nearest neighbours (Å) after each atom.
Space group P4/mmm (No. 123)
One atom of each set of equivalent atoms:
Ca  0.0000  0.0000  0.0000 x1  8 Tl 3.33, 4 Ca 3.67
Sc  0.0000  0.0000  0.3429 x2  8 Tl 3.14
Tl  0.5000  0.5000  0.1851 x2  4 Sc 3.14, 4 Ca 3.33
Tl  0.5000  0.5000  0.5000 x1  8 Sc 3.14

Calculated values
Energy of formation (meV/atom): -308
Crystal system: tetragonal

***

[2]
DFT (GGA-PBE) results for a relaxed structure of NdCr2Fe10.

Lattice parameters (Å, degrees): 4.6660 8.4420 8.5199 90.00 90.00 90.00
With the nearest neighbours (Å) after each atom.
Space group Immm (No. 71)
One atom of each set of equivalent atoms:
Nd  0.0000  0.0000  0.0000 x2  18 Fe 3.04-3.22, 2 Cr 3.15
Cr  0.0000  0.0000  0.3694 x4  1 Cr 2.22
Fe  0.0000  0.2700  0.5000 x4  6 Fe 2.43-2.58, 2 Cr 2.54
Fe  0.0000  0.3599  0.0000 x4  9 Fe 2.36-2.60
Fe  0.0000  0.5000  0.2662 x4  6 Fe 2.42-2.56, 2 Cr 2.60
Fe  0.2500  0.2500  0.2500 x8  8 Fe 2.33-2.60

Calculated values
Energy of formation (meV/atom): 42
Crystal system: orthorhombic

***

[3]
DFT (GGA-PBE) results for a relaxed structure of SrBe2Se.

Lattice parameters (Å, degrees): 3.3730 5.2360 9.3327 90.00 90.00 90.00
With the nearest neighbours (Å) after each atom.
Space group Immm (No. 71)
One atom of each set of equivalent atoms:
Sr  0.0000  0.0000  0.0000 x2  4 Se 3.11, 8 Be 3.20-3.29, 2 Sr 3.37
Be  0.0000  0.5000  0.1978 x4  2 Se 2.50
Se  0.0000  0.0000  0.5000 x2  4 Be 2.50

Calculated values
Energy relative to the elements, uncorrected (eV/atom): 0.22
Crystal system: orthorhombic

***

[4]
DFT (GGA-PBE) results for a relaxed structure of TcI2Br.

Lattice parameters (Å, degrees): 7.2487 7.2487 7.2487 90.00 90.00 90.00
With the nearest neighbours (Å) after each atom.
Space group Fm-3m (No. 225)
One atom of each set of equivalent atoms:
Tc  0.0000  0.0000  0.0000 x4  8 I 3.14
I  0.2500  0.2500  0.2500 x8  4 Tc 3.14, 4 Br 3.14
Br  0.0000  0.0000  0.5000 x4  8 I 3.14

Calculated values
Energy relative to the elements, uncorrected (eV/atom): 0.97
Crystal system: cubic
Relative energy among the computed polymorphs (eV/atom): 0.598

***

[5]
DFT (GGA-PBE) results for a relaxed structure of TbPr3Y2.

Lattice parameters (Å, degrees): 6.3293 10.9633 11.9343 90.00 100.16 90.00
With the nearest neighbours (Å) after each atom.
Space group C2/m (No. 12)
One atom of each set of equivalent atoms:
Tb  0.0000  0.1668  0.0000 x4  6 Pr 3.61, 3 Tb 3.65-3.66, 3 Y 3.65
Pr  0.2492  0.1671  0.7504 x8  2 Tb 3.61, 4 Y 3.62, 6 Pr 3.65-3.66
Pr  0.2496  0.0000  0.2498 x4  4 Y 3.61-3.62, 2 Tb 3.61, 6 Pr 3.65-3.66
Y  0.0000  0.0000  0.5000 x2  6 Pr 3.62, 6 Y 3.65
Y  0.0000  0.3333  0.5000 x4  6 Pr 3.62, 6 Y 3.65-3.66
Y  0.0000  0.5000  0.0000 x2  6 Pr 3.61-3.62, 6 Tb 3.65

Calculated values
Energy of formation (meV/atom): 8
Crystal system: monoclinic
Relative energy among the computed polymorphs (eV/atom): 0.000

***

[6]
DFT (GGA-PBE) results for a relaxed structure of Hf3AlPd.

Lattice parameters (Å, degrees): 4.9828 4.9828 4.9828 90.00 90.00 90.00
With the nearest neighbours (Å) after each atom.
Space group Pm-3m (No. 221)
One atom of each set of equivalent atoms:
Hf  0.0000  0.0000  0.5000 x3  2 Pd 2.49
Al  0.5000  0.5000  0.5000 x1  12 Hf 3.52
Pd  0.0000  0.0000  0.0000 x1  6 Hf 2.49

Calculated values
Energy of formation (meV/atom): 430
Crystal system: cubic
Relative energy among the computed polymorphs (eV/atom): 0.000

***

[7]
DFT (GGA-PBE) results for a relaxed structure of Cs2SmInF6.

Lattice parameters (Å, degrees): 6.9240 6.9543 11.9790 90.00 125.20 90.00
With the nearest neighbours (Å) after each atom.
Space group P2_1/c (No. 14)
One atom of each set of equivalent atoms:
Cs  0.2445  0.0278  0.2502 x4  6 F 3.04-3.37
Sm  0.0000  0.0000  0.5000 x2  6 F 2.26
In  0.5000  0.0000  0.0000 x2  6 F 2.73-2.76
F  0.1471  0.2402  0.9589 x4  1 Sm 2.26
F  0.2255  0.6924  0.9664 x4  1 Sm 2.26
F  0.2953  0.0245  0.7249 x4  1 Sm 2.26

Calculated values
Energy relative to the elements, uncorrected (eV/atom): -3.07
Crystal system: monoclinic

***

[8]
DFT (GGA-PBE) results for a relaxed structure of RbTl10Hg2.

Lattice parameters (Å, degrees): 6.4074 16.1131 16.2857 90.00 90.00 90.00
With the nearest neighbours (Å) after each atom.
Space group Fmmm (No. 69)
One atom of each set of equivalent atoms:
Rb  0.0000  0.0000  0.0000 x4  16 Tl 4.03-4.38, 4 Hg 4.34
Tl  0.0000  0.1090  0.3958 x16  2 Hg 3.26, 7 Tl 3.36-3.61
Tl  0.0000  0.1807  0.1782 x16  6 Tl 3.23-3.61, 2 Hg 3.50
Tl  0.2500  0.0000  0.2500 x8  10 Tl 3.20-3.52
Hg  0.2500  0.2500  0.0000 x8  2 Hg 3.20, 8 Tl 3.26-3.50

Calculated values
Energy of formation (meV/atom): -23
Crystal system: orthorhombic

***

[9]
DFT (GGA-PBE) results for a relaxed structure of PmNd7Ho2.

Lattice parameters (Å, degrees): 8.9557 16.2664 5.7441 90.00 90.00 90.00
With the nearest neighbours (Å) after each atom.
Space group Cmmm (No. 65)
One atom of each set of equivalent atoms:
Pm  0.0000  0.0000  0.0000 x2  10 Nd 3.68-3.79
Nd  0.0000  0.2264  0.0000 x4  2 Ho 3.09
Nd  0.0000  0.5000  0.5000 x2  2 Ho 3.32, 4 Nd 3.43
Nd  0.1794  0.1155  0.5000 x8  2 Ho 3.21-3.34, 2 Nd 3.21-3.43
Ho  0.0000  0.2958  0.5000 x4  7 Nd 3.09-3.34

Calculated values
Energy of formation (meV/atom): 637
Crystal system: orthorhombic
Relative energy among the computed polymorphs (eV/atom): 0.621

***

[10]
DFT (GGA-PBE) results for a relaxed structure of Cs2SnPdS4.

Lattice parameters (Å, degrees): 6.9007 12.4119 27.4032 90.00 90.00 90.00
With the nearest neighbours (Å) after each atom.
Space group Fddd (No. 70, origin choice 2)
One atom of each set of equivalent atoms:
Cs  0.1250  0.1250  0.2996 x16  4 S 3.66-3.70
Sn  0.1250  0.1250  0.1250 x8  4 S 2.45
Pd  0.1250  0.1250  0.6250 x8  4 S 2.37
S  0.1167  0.3324  0.8169 x32  1 Pd 2.37, 1 Sn 2.45

Calculated values
Energy relative to the elements, uncorrected (eV/atom): -0.68
Crystal system: orthorhombic

***

[11]
DFT (GGA-PBE) results for a relaxed structure of RbLi2SnTe.

Lattice parameters (Å, degrees): 5.3718 5.3718 6.5246 90.00 90.00 90.00
With the nearest neighbours (Å) after each atom.
Space group P4/mmm (No. 123)
One atom of each set of equivalent atoms:
Rb  0.0000  0.0000  0.0000 x1  2 Sn 3.26
Li  0.0000  0.5000  0.5000 x2  2 Sn 2.69
Sn  0.0000  0.0000  0.5000 x1  4 Li 2.69
Te  0.5000  0.5000  0.0000 x1  4 Rb 3.80, 8 Li 4.23

Calculated values
Energy relative to the elements, uncorrected (eV/atom): 0.06
Crystal system: tetragonal

***

Calculated density? In order: 8.147, 7.983, 3.720, 7.529, 6.188, 8.978, 4.544, 9.996, 5.892, 3.505, 3.049 g/cm³.
Total magnetic moment? In order: 0.001, 17.683, 0.000, 0.000, 0.000, 0.000, 0.000, 0.000, 0.000, 0.000, 1.202 μB per formula unit.
VASP energy? In order: -3.936, -8.315, -2.934, -2.811, -5.309, -7.329, -5.106, -1.964, -4.091, -4.110, -2.331 eV per atom.